Record 1
DFT (PBE) results for a geometry-optimized PrCdInSe3 structure.

Geometry as CIF:
```
data_PrCdInSe3
_chemical_formula_sum 'Pr4 Cd4 In4 Se12'
_cell_length_a 11.476
_cell_length_b 4.354
_cell_length_c 14.451
_cell_angle_alpha 90.00
_cell_angle_beta 90.00
_cell_angle_gamma 90.00
_symmetry_space_group_name_H-M 'P 1'
_symmetry_Int_Tables_number 1
_symmetry_space_group_name_Hall 'P 1'
loop_
_atom_site_label
_atom_site_type_symbol
_atom_site_fract_x
_atom_site_fract_y
_atom_site_fract_z
Cd1 Cd 0.235 0.750 0.215
Cd2 Cd 0.735 0.750 0.285
Cd3 Cd 0.265 0.250 0.715
Cd4 Cd 0.765 0.250 0.785
In1 In 0.791 0.750 0.000
In2 In 0.291 0.750 0.500
In3 In 0.709 0.250 0.500
In4 In 0.209 0.250 0.000
Pr1 Pr 0.484 0.250 0.239
Pr2 Pr 0.984 0.250 0.261
Pr3 Pr 0.016 0.750 0.739
Pr4 Pr 0.516 0.750 0.761
Se1 Se 0.419 0.750 0.108
Se2 Se 0.037 0.750 0.120
Se3 Se 0.738 0.250 0.172
Se4 Se 0.238 0.250 0.328
Se5 Se 0.537 0.750 0.380
Se6 Se 0.919 0.750 0.392
Se7 Se 0.081 0.250 0.608
Se8 Se 0.463 0.250 0.620
Se9 Se 0.762 0.750 0.672
Se10 Se 0.262 0.750 0.828
Se11 Se 0.963 0.250 0.880
Se12 Se 0.581 0.250 0.892
```

Results
Volume in Å³/f.u.: 180.5
Distance to the lowest polymorph of the same formula in eV/atom: 0.000
SG: No. 62

Record 2
DFT (PBE) results for a geometry-optimized PrCdInSe3 structure.

Geometry as CIF:
```
data_PrCdInSe3
_chemical_formula_sum 'Pr4 Cd4 In4 Se12'
_cell_length_a 8.348
_cell_length_b 4.520
_cell_length_c 17.581
_cell_angle_alpha 90.00
_cell_angle_beta 90.00
_cell_angle_gamma 90.00
_symmetry_space_group_name_H-M 'P 1'
_symmetry_Int_Tables_number 1
_symmetry_space_group_name_Hall 'P 1'
loop_
_atom_site_label
_atom_site_type_symbol
_atom_site_fract_x
_atom_site_fract_y
_atom_site_fract_z
Cd1 Cd 0.097 0.750 0.154
Cd2 Cd 0.597 0.750 0.346
Cd3 Cd 0.403 0.250 0.654
Cd4 Cd 0.903 0.250 0.846
In1 In 0.447 0.250 0.203
In2 In 0.947 0.250 0.297
In3 In 0.053 0.750 0.703
In4 In 0.553 0.750 0.797
Pr1 Pr 0.733 0.750 0.041
Pr2 Pr 0.233 0.750 0.459
Pr3 Pr 0.767 0.250 0.541
Pr4 Pr 0.267 0.250 0.959
Se1 Se 0.373 0.750 0.059
Se2 Se 0.993 0.250 0.081
Se3 Se 0.733 0.750 0.210
Se4 Se 0.233 0.750 0.290
Se5 Se 0.493 0.250 0.419
Se6 Se 0.873 0.750 0.441
Se7 Se 0.127 0.250 0.559
Se8 Se 0.507 0.750 0.581
Se9 Se 0.767 0.250 0.710
Se10 Se 0.267 0.250 0.790
Se11 Se 0.007 0.750 0.919
Se12 Se 0.627 0.250 0.941
```

Results
Volume in Å³/f.u.: 165.8
Distance to the lowest polymorph of the same formula in eV/atom: 0.039
SG: No. 62

| no. | M_tot (μB/f.u.) |
| --- | --- |
| 1 | 0.00 |
| 2 | 0.00 |